Here is an optimized crystal structure of KDyAsSe3 from the Open Quantum Materials Database. Energies are from GGA-PBE.

abc: 4.367 15.360 11.494
angles: 90.00 90.00 90.00
Space group Cmcm (No. 63)
One atom of each set of equivalent atoms:
K 0.000 0.220 0.250 x4
Dy 0.000 0.500 0.000 x4
As 0.000 0.095 0.750 x4
Se 0.000 0.123 0.513 x8
Se 0.000 0.489 0.250 x4

Computed properties:
DFT total energy, eV per atom: -4.4706